Entry 1:
Computed, not measured: Mn3CuPb2S8 after structural relaxation at the PBE-GGA level of DFT.

```
data_Mn3CuPb2S8
_cell_length_a 6.8200
_cell_length_b 6.8200
_cell_length_c 21.7763
_cell_angle_alpha 90.00
_cell_angle_beta 90.00
_cell_angle_gamma 120.00
_space_group_name_H-M_alt 'R 3 m'
_space_group_IT_number 160
_space_group_name_Hall 'R 3 -2"'
loop_
_atom_site_label
_atom_site_type_symbol
_atom_site_fract_x
_atom_site_fract_y
_atom_site_fract_z
Mn1 Mn 0.1930 0.3860 0.0000
Cu1 Cu 0.0000 0.0000 0.6083
Pb1 Pb 0.0000 0.0000 0.1476
Pb2 Pb 0.0000 0.0000 0.8011
S1 S 0.0000 0.0000 0.4020
S2 S 0.0000 0.0000 0.9528
S3 S 0.0300 0.5150 0.9335
S4 S 0.1724 0.3448 0.7216
```

Summary:
E_form (uncorrected) = -5.38 eV/f.u.
N(E_F) = 0.09 states/eV/atom
total magnetic moment = 4.065 μB per formula unit
mass density = 5.11 Mg/m³
calculated total energy = -232.27 eV for the cell shown
calculated volume = 20.9 Å³/atom

=====

Entry 2:
Computed, not measured: MnCu2PbS after structural relaxation at the PBE-GGA level of DFT.

```
data_MnCu2PbS
_cell_length_a 4.871
_cell_length_b 4.871
_cell_length_c 5.334
_cell_angle_alpha 90.00
_cell_angle_beta 90.00
_cell_angle_gamma 90.00
_space_group_name_H-M_alt 'P 4/m m m'
_space_group_IT_number 123
_space_group_name_Hall '-P 4 2'
loop_
_atom_site_label
_atom_site_type_symbol
_atom_site_fract_x
_atom_site_fract_y
_atom_site_fract_z
Mn1 Mn 0.000 0.000 0.000
Cu1 Cu 0.000 0.500 0.500
Pb1 Pb 0.000 0.000 0.500
S1 S 0.500 0.500 0.000
```

Summary:
E_form (uncorrected) = 5.68 eV/f.u.
N(E_F) = 0.72 states/eV/atom
total magnetic moment = 3.329 μB per formula unit
mass density = 5.53 Mg/m³
calculated total energy = -19.52 eV for the cell shown
calculated volume = 25.3 Å³/atom

=====

Entry 3:
Computed, not measured: MnCu2SiPb after structural relaxation at the PBE-GGA level of DFT.

```
data_MnCu2SiPb
_cell_length_a 4.714
_cell_length_b 4.714
_cell_length_c 4.441
_cell_angle_alpha 90.00
_cell_angle_beta 90.00
_cell_angle_gamma 90.00
_space_group_name_H-M_alt 'P 4/m m m'
_space_group_IT_number 123
_space_group_name_Hall '-P 4 2'
loop_
_atom_site_label
_atom_site_type_symbol
_atom_site_fract_x
_atom_site_fract_y
_atom_site_fract_z
Mn1 Mn 0.000 0.000 0.000
Cu1 Cu 0.000 0.500 0.000
Si1 Si 0.000 0.000 0.500
Pb1 Pb 0.500 0.500 0.500
```

Summary:
E_form (uncorrected) = 3.09 eV/f.u.
N(E_F) = 0.53 states/eV/atom
total magnetic moment = 2.792 μB per formula unit
mass density = 7.02 Mg/m³
calculated total energy = -23.40 eV for the cell shown
calculated volume = 19.7 Å³/atom

=====

Entry 4:
Computed, not measured: MnCuSi2Pb after structural relaxation at the PBE-GGA level of DFT.

```
data_MnCuSi2Pb
_cell_length_a 4.371
_cell_length_b 4.371
_cell_length_c 4.924
_cell_angle_alpha 90.00
_cell_angle_beta 90.00
_cell_angle_gamma 90.00
_space_group_name_H-M_alt 'P 4/m m m'
_space_group_IT_number 123
_space_group_name_Hall '-P 4 2'
loop_
_atom_site_label
_atom_site_type_symbol
_atom_site_fract_x
_atom_site_fract_y
_atom_site_fract_z
Mn1 Mn 0.000 0.000 0.000
Cu1 Cu 0.000 0.000 0.500
Si1 Si 0.000 0.500 0.000
Pb1 Pb 0.500 0.500 0.500
```

Summary:
E_form (uncorrected) = 2.03 eV/f.u.
N(E_F) = 0.49 states/eV/atom
total magnetic moment = 0.000 μB per formula unit
mass density = 6.74 Mg/m³
calculated total energy = -25.79 eV for the cell shown
calculated volume = 18.8 Å³/atom

=====

Entry 5:
Computed, not measured: MnCuPb2W after structural relaxation at the PBE-GGA level of DFT.

```
data_MnCuPb2W
_cell_length_a 5.036
_cell_length_b 5.036
_cell_length_c 4.889
_cell_angle_alpha 90.00
_cell_angle_beta 90.00
_cell_angle_gamma 90.00
_space_group_name_H-M_alt 'P 4/m m m'
_space_group_IT_number 123
_space_group_name_Hall '-P 4 2'
loop_
_atom_site_label
_atom_site_type_symbol
_atom_site_fract_x
_atom_site_fract_y
_atom_site_fract_z
Mn1 Mn 0.000 0.000 0.000
Cu1 Cu 0.500 0.500 0.500
Pb1 Pb 0.000 0.500 0.500
W1 W 0.500 0.500 0.000
```

Summary:
N(E_F) = 0.87 states/eV/atom
formation enthalpy at 0 K = 7.1 eV per formula unit
total magnetic moment = 1.927 μB per formula unit
mass density = 9.60 Mg/m³
calculated total energy = -26.54 eV for the cell shown
calculated volume = 24.8 Å³/atom

=====

Entry 6:
Computed, not measured: MnCuPbW2 after structural relaxation at the PBE-GGA level of DFT.

```
data_MnCuPbW2
_cell_length_a 5.121
_cell_length_b 5.121
_cell_length_c 4.898
_cell_angle_alpha 90.00
_cell_angle_beta 90.00
_cell_angle_gamma 90.00
_space_group_name_H-M_alt 'P 4/m m m'
_space_group_IT_number 123
_space_group_name_Hall '-P 4 2'
loop_
_atom_site_label
_atom_site_type_symbol
_atom_site_fract_x
_atom_site_fract_y
_atom_site_fract_z
Mn1 Mn 0.000 0.000 0.000
Cu1 Cu 0.500 0.500 0.000
Pb1 Pb 0.000 0.000 0.500
W1 W 0.000 0.500 0.500
```

Summary:
N(E_F) = 1.30 states/eV/atom
formation enthalpy at 0 K = 14.2 eV per formula unit
total magnetic moment = 0.134 μB per formula unit
mass density = 8.96 Mg/m³
calculated total energy = -28.64 eV for the cell shown
calculated volume = 25.7 Å³/atom

=====

Entry 7:
Computed, not measured: Mn2Cu2Pd3 after structural relaxation at the PBE-GGA level of DFT.

```
data_Mn2Cu2Pd3
_cell_length_a 3.958
_cell_length_b 4.603
_cell_length_c 6.195
_cell_angle_alpha 100.05
_cell_angle_beta 90.18
_cell_angle_gamma 115.42
_space_group_name_H-M_alt 'P -1'
_space_group_IT_number 2
loop_
_space_group_symop_operation_xyz
'x,y,z'
'-x,-y,-z'
loop_
_atom_site_label
_atom_site_type_symbol
_atom_site_fract_x
_atom_site_fract_y
_atom_site_fract_z
Mn1 Mn 0.207 0.413 0.159
Cu1 Cu 0.362 0.725 0.567
Pd1 Pd 0.085 0.171 0.716
Pd2 Pd 0.500 0.000 0.000
```

Summary:
N(E_F) = 0.46 states/eV/atom
formation enthalpy at 0 K = -1.1 eV per formula unit
total magnetic moment = 8.642 μB per formula unit
mass density = 9.24 Mg/m³
calculated total energy = -43.17 eV for the cell shown
calculated volume = 14.3 Å³/atom

=====

Entry 8:
Computed, not measured: MnCu3Pd12 after structural relaxation at the PBE-GGA level of DFT.

```
data_MnCu3Pd12
_cell_length_a 3.900
_cell_length_b 3.900
_cell_length_c 15.576
_cell_angle_alpha 90.00
_cell_angle_beta 90.00
_cell_angle_gamma 90.00
_space_group_name_H-M_alt 'P 4/m m m'
_space_group_IT_number 123
_space_group_name_Hall '-P 4 2'
loop_
_atom_site_label
_atom_site_type_symbol
_atom_site_fract_x
_atom_site_fract_y
_atom_site_fract_z
Mn1 Mn 0.000 0.000 0.000
Cu1 Cu 0.000 0.000 0.252
Cu2 Cu 0.000 0.000 0.500
Pd1 Pd 0.000 0.500 0.127
Pd2 Pd 0.000 0.500 0.376
Pd3 Pd 0.500 0.500 0.000
Pd4 Pd 0.500 0.500 0.251
Pd5 Pd 0.500 0.500 0.500
```

Summary:
N(E_F) = 1.09 states/eV/atom
formation enthalpy at 0 K = -1.6 eV per formula unit
total magnetic moment = 4.991 μB per formula unit
mass density = 10.67 Mg/m³
calculated total energy = -85.40 eV for the cell shown
calculated volume = 14.8 Å³/atom

=====

Entry 9:
Computed, not measured: MnCu3Pd7 after structural relaxation at the PBE-GGA level of DFT.

```
data_MnCu3Pd7
_cell_length_a 8.990
_cell_length_b 9.175
_cell_length_c 4.724
_cell_angle_alpha 90.00
_cell_angle_beta 118.09
_cell_angle_gamma 90.00
_space_group_name_H-M_alt 'C 1 2/m 1'
_space_group_IT_number 12
loop_
_space_group_symop_operation_xyz
'x,y,z'
'-x,-y,-z'
'-x,y,-z'
'x,-y,z'
'x+1/2,y+1/2,z'
'-x+1/2,-y+1/2,-z'
'-x+1/2,y+1/2,-z'
'x+1/2,-y+1/2,z'
loop_
_atom_site_label
_atom_site_type_symbol
_atom_site_fract_x
_atom_site_fract_y
_atom_site_fract_z
Mn1 Mn 0.000 0.000 0.000
Cu1 Cu 0.000 0.272 0.500
Cu2 Cu 0.000 0.500 0.000
Pd1 Pd 0.000 0.000 0.500
Pd2 Pd 0.173 0.271 0.175
Pd3 Pd 0.182 0.500 0.628
```

Summary:
N(E_F) = 0.89 states/eV/atom
formation enthalpy at 0 K = 1.3 eV per formula unit
total magnetic moment = 4.713 μB per formula unit
mass density = 9.57 Mg/m³
calculated total energy = -112.93 eV for the cell shown
calculated volume = 15.6 Å³/atom

=====

Entry 10:
Computed, not measured: MnCuPd3 after structural relaxation at the PBE-GGA level of DFT.

```
data_MnCuPd3
_cell_length_a 4.621
_cell_length_b 4.621
_cell_length_c 4.621
_cell_angle_alpha 90.00
_cell_angle_beta 90.00
_cell_angle_gamma 90.00
_space_group_name_H-M_alt 'P m -3 m'
_space_group_IT_number 221
_space_group_name_Hall '-P 4 2 3'
loop_
_atom_site_label
_atom_site_type_symbol
_atom_site_fract_x
_atom_site_fract_y
_atom_site_fract_z
Mn1 Mn 0.000 0.000 0.000
Cu1 Cu 0.500 0.500 0.500
Pd1 Pd 0.000 0.000 0.500
```

Summary:
N(E_F) = 0.57 states/eV/atom
formation enthalpy at 0 K = 4.3 eV per formula unit
total magnetic moment = 4.219 μB per formula unit
mass density = 7.37 Mg/m³
calculated total energy = -24.54 eV for the cell shown
calculated volume = 19.7 Å³/atom
offset from the most stable computed form = 501.3 kJ/mol of formula units

=====

Entry 11:
Computed, not measured: Mn2CuPd2 after structural relaxation at the PBE-GGA level of DFT.

```
data_Mn2CuPd2
_cell_length_a 7.266
_cell_length_b 7.266
_cell_length_c 2.980
_cell_angle_alpha 90.00
_cell_angle_beta 90.00
_cell_angle_gamma 90.00
_space_group_name_H-M_alt 'P 4/m b m'
_space_group_IT_number 127
_space_group_name_Hall '-P 4 2ab'
loop_
_atom_site_label
_atom_site_type_symbol
_atom_site_fract_x
_atom_site_fract_y
_atom_site_fract_z
Mn1 Mn 0.160 0.340 0.000
Cu1 Cu 0.000 0.000 0.500
Pd1 Pd 0.139 0.639 0.500
```

Summary:
N(E_F) = 0.32 states/eV/atom
formation enthalpy at 0 K = 0.3 eV per formula unit
total magnetic moment = 8.500 μB per formula unit
mass density = 8.16 Mg/m³
calculated total energy = -65.04 eV for the cell shown
calculated volume = 15.7 Å³/atom

=====

Entry 12:
Computed, not measured: MnCuPd5 after structural relaxation at the PBE-GGA level of DFT.

```
data_MnCuPd5
_cell_length_a 4.030
_cell_length_b 4.030
_cell_length_c 6.817
_cell_angle_alpha 90.00
_cell_angle_beta 90.00
_cell_angle_gamma 90.00
_space_group_name_H-M_alt 'P 4/m m m'
_space_group_IT_number 123
_space_group_name_Hall '-P 4 2'
loop_
_atom_site_label
_atom_site_type_symbol
_atom_site_fract_x
_atom_site_fract_y
_atom_site_fract_z
Mn1 Mn 0.000 0.000 0.000
Cu1 Cu 0.500 0.500 0.500
Pd1 Pd 0.000 0.500 0.275
Pd2 Pd 0.500 0.500 0.000
```

Summary:
N(E_F) = 1.27 states/eV/atom
formation enthalpy at 0 K = -0.1 eV per formula unit
total magnetic moment = 5.282 μB per formula unit
mass density = 9.76 Mg/m³
calculated total energy = -39.33 eV for the cell shown
calculated volume = 15.8 Å³/atom
offset from the most stable computed form = 34.3 kJ/mol of formula units